Material: YZnS2
Method: DFT, PBE-GGA
State: optimized geometry

Calculated values
Calculated volume in A^3/atom: 24.693
Formation energy without anion corrections in eV/atom: -1.050

Unit cell a=5.9623 b=5.9623 c=6.9753 alpha=64.70 beta=64.70 gamma=90.00
Last column: nearest neighbours and their distance in Å.
Fractional coordinates of all 8 atoms:
Y 0.0000 0.0000 0.0000  4 S 2.67
Y 0.7500 0.2500 0.5000  4 S 2.67
Zn 0.2500 0.7500 0.5000  4 S 2.39
Zn 0.5000 0.5000 0.0000  4 S 2.39
S 0.1655 0.6250 0.2500  2 Zn 2.39, 2 Y 2.67
S 0.8750 0.8345 0.7500  2 Zn 2.39, 2 Y 2.67
S 0.5845 0.1250 0.2500  2 Zn 2.39, 2 Y 2.67
S 0.3750 0.4155 0.7500  2 Zn 2.39, 2 Y 2.67